Arrangement P

{"formula": "InMoW", "functional": "SCAN", "state": "single point on PBEsol structure", "lattice": [[2.868, 0.000, 0.000], [-1.434, 2.484, 0.000], [0.000, 0.000, 7.171]], "species": ["In", "Mo", "W"], "frac_coords": [[0.000, 0.000, 0.999], [0.333, 0.667, 0.658], [0.667, 0.333, 0.343]]}



Arrangement Q

{"formula": "InMoW", "functional": "SCAN", "state": "single point on PBEsol structure", "lattice": [[2.852, 0.005, 0.000], [-1.084, 2.638, 0.000], [-0.884, -1.321, 6.863]], "species": ["In", "Mo", "W"], "frac_coords": [[0.999, 0.999, 0.998], [0.325, 0.325, 0.649], [0.676, 0.676, 0.352]]}



Short version: arrangement P is the least stable of them.



Arrangement P

{"formula": "InN", "functional": "SCAN", "state": "single point on PBEsol structure", "lattice": [[-2.775, 1.740, -1.340], [2.233, -1.699, -2.157], [-3.176, -4.731, 0.437]], "species": ["In", "In", "N", "N"], "frac_coords": [[0.667, 0.333, 0.999], [0.333, 0.667, 0.499], [0.667, 0.333, 0.621], [0.333, 0.667, 0.121]]}



Arrangement Q

{"formula": "InN", "functional": "SCAN", "state": "single point on PBEsol structure", "lattice": [[3.528, 0.000, 0.000], [1.764, 3.055, 0.000], [1.764, 1.018, 2.881]], "species": ["In", "N"], "frac_coords": [[0.000, 0.000, 0.000], [0.750, 0.750, 0.750]]}



Short version: arrangement Q is the least stable of them.



Arrangement P

{"formula": "In3NO3", "functional": "SCAN", "state": "single point on PBEsol structure", "lattice": [[-2.050, 5.058, 3.488], [-4.266, -3.499, -3.392], [2.074, -5.361, 2.985]], "species": ["In", "In", "In", "In", "In", "In", "N", "N", "O", "O", "O", "O", "O", "O"], "frac_coords": [[0.990, 0.990, 0.000], [0.263, 0.397, 0.634], [0.490, 0.990, 0.500], [0.763, 0.628, 0.366], [0.997, 0.501, 0.003], [0.497, 0.994, 0.997], [0.525, 0.789, 0.764], [0.025, 0.761, 0.236], [0.985, 0.247, 0.762], [0.514, 0.247, 0.759], [0.014, 0.755, 0.767], [0.488, 0.755, 0.241], [0.485, 0.222, 0.238], [0.988, 0.247, 0.233]]}



Arrangement Q

{"formula": "In3NO3", "functional": "SCAN", "state": "single point on PBEsol structure", "lattice": [[6.439, 0.000, 0.000], [3.219, 5.576, 0.000], [3.219, 1.859, 5.349]], "species": ["In", "In", "In", "In", "In", "In", "N", "N", "O", "O", "O", "O", "O", "O"], "frac_coords": [[0.500, 0.000, 0.000], [0.864, 0.864, 0.409], [0.500, 0.500, 0.500], [0.136, 0.136, 0.591], [0.000, 0.500, 0.000], [0.500, 0.500, 0.000], [0.733, 0.733, 0.801], [0.267, 0.267, 0.199], [0.260, 0.260, 0.745], [0.734, 0.260, 0.745], [0.740, 0.266, 0.255], [0.266, 0.740, 0.255], [0.740, 0.740, 0.255], [0.260, 0.734, 0.745]]}



Short version: arrangement P is the least stable of them.



Arrangement P

{"formula": "InPN2", "functional": "SCAN", "state": "single point on PBEsol structure", "lattice": [[5.238, 0.001, 0.001], [-2.606, 4.544, -0.001], [-2.606, -1.525, 4.280]], "species": ["P", "P", "N", "N", "N", "N", "In", "In"], "frac_coords": [[0.500, 0.250, 0.750], [0.000, 0.500, 0.500], [0.802, 0.427, 0.125], [0.198, 0.323, 0.625], [0.302, 0.875, 0.677], [0.698, 0.375, 0.573], [0.500, 0.750, 0.250], [0.000, 0.000, 0.000]]}



Arrangement Q

{"formula": "InPN2", "functional": "SCAN", "state": "single point on PBEsol structure", "lattice": [[-2.416, -0.124, 1.360], [-0.901, -2.423, 1.011], [1.999, 0.344, 6.415]], "species": ["P", "N", "N", "In"], "frac_coords": [[0.500, 0.500, 0.500], [0.880, 0.880, 0.359], [0.120, 0.120, 0.641], [0.000, 0.000, 0.000]]}



Short version: arrangement Q is the least stable of them.